# BaLi2PrCl8

BaLi2PrCl8 after structural relaxation (PBE, the Alexandria database).

Results
* Fermi-level density of states: 13.5 states/eV per cell
* VASP energy: -3.937 eV per atom
* formation energy (no corrections): -2117 kJ/mol of formula units

CIF file:
```
data_BaLi2PrCl8
_chemical_formula_sum 'Ba1 Li2 Pr1 Cl8'
_cell_length_a 6.6918
_cell_length_b 6.6918
_cell_length_c 9.0061
_cell_angle_alpha 90.00
_cell_angle_beta 90.00
_cell_angle_gamma 120.00
_space_group_name_H-M_alt 'P -3'
_space_group_IT_number 147
loop_
_space_group_symop_operation_xyz
'x,y,z'
'-x,-y,-z'
'-y,x-y,z'
'y,-x+y,-z'
'-x+y,-x,z'
'x-y,x,-z'
loop_
_atom_site_label
_atom_site_fract_x
_atom_site_fract_y
_atom_site_fract_z
Ba1 0.0000 0.0000 0.0000
Li1 0.3333 0.6667 0.7470
Pr1 0.0000 0.0000 0.5000
Cl1 0.0007 0.3099 0.7028
Cl2 0.3333 0.6667 0.0066
```


# BaLiPrCl6

BaLiPrCl6 after structural relaxation (PBE, the Alexandria database).

Results
* Fermi-level density of states: 0.0 states/eV per cell
* VASP energy: -4.424 eV per atom
* formation energy (no corrections): -1942 kJ/mol of formula units

CIF file:
```
data_BaLiPrCl6
_chemical_formula_sum 'Ba2 Li2 Pr2 Cl12'
_cell_length_a 6.9766
_cell_length_b 6.9766
_cell_length_c 13.4734
_cell_angle_alpha 90.00
_cell_angle_beta 90.00
_cell_angle_gamma 120.00
_space_group_name_H-M_alt 'P -3 1 c'
_space_group_IT_number 163
_space_group_name_Hall '-P 3 2c'
loop_
_atom_site_label
_atom_site_fract_x
_atom_site_fract_y
_atom_site_fract_z
Ba1 0.0000 0.0000 0.0000
Li1 0.3333 0.6667 0.2500
Pr1 0.3333 0.6667 0.7500
Cl1 0.0146 0.3685 0.1366
```


# BaLi2PtCl8

BaLi2PtCl8 after structural relaxation (PBE, the Alexandria database).

Results
* VASP energy: -3.608 eV per atom
* formation energy (no corrections): -1614 kJ/mol of formula units

CIF file:
```
data_BaLi2PtCl8
_chemical_formula_sum 'Ba1 Li2 Pt1 Cl8'
_cell_length_a 6.1788
_cell_length_b 6.9505
_cell_length_c 8.3262
_cell_angle_alpha 68.67
_cell_angle_beta 85.01
_cell_angle_gamma 84.93
_space_group_name_H-M_alt 'P -1'
_space_group_IT_number 2
loop_
_space_group_symop_operation_xyz
'x,y,z'
'-x,-y,-z'
loop_
_atom_site_label
_atom_site_fract_x
_atom_site_fract_y
_atom_site_fract_z
Ba1 0.0000 0.0000 0.0000
Li1 0.4907 0.5292 0.8046
Pt1 0.0000 0.5000 0.5000
Cl1 0.0935 0.4812 0.7741
Cl2 0.1679 0.8158 0.3740
Cl3 0.3241 0.3096 0.4703
Cl4 0.4448 0.7716 0.9482
```


# BaLiPuCl6

BaLiPuCl6 after structural relaxation (PBE, the Alexandria database).

Results
* Fermi-level density of states: 22.9 states/eV per cell
* VASP energy: -5.323 eV per atom
* formation energy (no corrections): -1800 kJ/mol of formula units

CIF file:
```
data_BaLiPuCl6
_chemical_formula_sum 'Ba2 Li2 Pu2 Cl12'
_cell_length_a 6.9379
_cell_length_b 6.9379
_cell_length_c 13.3998
_cell_angle_alpha 90.00
_cell_angle_beta 90.00
_cell_angle_gamma 120.00
_space_group_name_H-M_alt 'P -3 1 c'
_space_group_IT_number 163
_space_group_name_Hall '-P 3 2c'
loop_
_atom_site_label
_atom_site_fract_x
_atom_site_fract_y
_atom_site_fract_z
Ba1 0.0000 0.0000 0.0000
Li1 0.3333 0.6667 0.2500
Pu1 0.3333 0.6667 0.7500
Cl1 0.0112 0.3673 0.1384
```


# RbBaLiCl4

RbBaLiCl4 after structural relaxation (PBE, the Alexandria database).

Results
* Fermi-level density of states: 0.0 states/eV per cell
* VASP energy: -3.880 eV per atom
* formation energy (no corrections): -1444 kJ/mol of formula units

CIF file:
```
data_RbBaLiCl4
_chemical_formula_sum 'Rb2 Ba2 Li2 Cl8'
_cell_length_a 6.9446
_cell_length_b 7.0643
_cell_length_c 9.1135
_cell_angle_alpha 90.00
_cell_angle_beta 111.09
_cell_angle_gamma 90.00
_space_group_name_H-M_alt 'P 1 21/m 1'
_space_group_IT_number 11
loop_
_space_group_symop_operation_xyz
'x,y,z'
'-x,-y,-z'
'-x,y+1/2,-z'
'x,-y+1/2,z'
loop_
_atom_site_label
_atom_site_fract_x
_atom_site_fract_y
_atom_site_fract_z
Rb1 0.1802 0.2500 0.0389
Ba1 0.2791 0.2500 0.5759
Li1 0.2505 0.7500 0.8001
Cl1 0.0089 0.5029 0.7125
Cl2 0.4015 0.7500 0.0775
Cl3 0.4384 0.7500 0.6256
```


# Rb2BaLiCl5

Rb2BaLiCl5 after structural relaxation (PBE, the Alexandria database).

Results
* Fermi-level density of states: 0.0 states/eV per cell
* VASP energy: -3.753 eV per atom
* formation energy (no corrections): -1811 kJ/mol of formula units

CIF file:
```
data_Rb2BaLiCl5
_chemical_formula_sum 'Rb8 Ba4 Li4 Cl20'
_cell_length_a 4.5522
_cell_length_b 18.8895
_cell_length_c 14.1799
_cell_angle_alpha 90.00
_cell_angle_beta 90.00
_cell_angle_gamma 90.00
_space_group_name_H-M_alt 'C m c 21'
_space_group_IT_number 36
loop_
_space_group_symop_operation_xyz
'x,y,z'
'-x,-y,z+1/2'
'-x,y,z'
'x,-y,z+1/2'
'x+1/2,y+1/2,z'
'-x+1/2,-y+1/2,z+1/2'
'-x+1/2,y+1/2,z'
'x+1/2,-y+1/2,z+1/2'
loop_
_atom_site_label
_atom_site_fract_x
_atom_site_fract_y
_atom_site_fract_z
Rb1 0.0000 0.0978 0.0000
Rb2 0.0000 0.1254 0.6737
Ba1 0.0000 0.1899 0.3661
Li1 0.0000 0.4557 0.7439
Cl1 0.0000 0.0297 0.3168
Cl2 0.0000 0.2931 0.0113
Cl3 0.0000 0.3266 0.7194
Cl4 0.0000 0.3480 0.3409
Cl5 0.0000 0.4917 0.0962
```


# Ba2LiRhCl

Ba2LiRhCl after structural relaxation (PBE, the Alexandria database).

Results
* Fermi-level density of states: 2.9 states/eV per cell
* VASP energy: -3.640 eV per atom
* formation energy (no corrections): -313 kJ/mol of formula units

CIF file:
```
data_Ba2LiRhCl
_chemical_formula_sum 'Ba2 Li1 Rh1 Cl1'
_cell_length_a 5.9916
_cell_length_b 5.9916
_cell_length_c 4.6890
_cell_angle_alpha 90.00
_cell_angle_beta 90.00
_cell_angle_gamma 90.00
_space_group_name_H-M_alt 'P 4/m m m'
_space_group_IT_number 123
_space_group_name_Hall '-P 4 2'
loop_
_atom_site_label
_atom_site_fract_x
_atom_site_fract_y
_atom_site_fract_z
Ba1 0.0000 0.5000 0.0000
Li1 0.0000 0.0000 0.5000
Rh1 0.0000 0.0000 0.0000
Cl1 0.5000 0.5000 0.5000
```


# BaLi2RuCl8

BaLi2RuCl8 after structural relaxation (PBE, the Alexandria database).

Results
* Fermi-level density of states: 2.0 states/eV per cell
* VASP energy: -3.850 eV per atom
* formation energy (no corrections): -1582 kJ/mol of formula units

CIF file:
```
data_BaLi2RuCl8
_chemical_formula_sum 'Ba1 Li2 Ru1 Cl8'
_cell_length_a 6.1401
_cell_length_b 6.2867
_cell_length_c 8.6424
_cell_angle_alpha 89.86
_cell_angle_beta 89.83
_cell_angle_gamma 79.28
_space_group_name_H-M_alt 'P -1'
_space_group_IT_number 2
loop_
_space_group_symop_operation_xyz
'x,y,z'
'-x,-y,-z'
loop_
_atom_site_label
_atom_site_fract_x
_atom_site_fract_y
_atom_site_fract_z
Ba1 0.0000 0.0000 0.0000
Li1 0.4990 0.4996 0.1968
Ru1 0.0000 0.0000 0.5000
Cl1 0.1999 0.2689 0.4999
Cl2 0.2408 0.8156 0.6968
Cl3 0.2419 0.8169 0.3029
Cl4 0.3117 0.3356 0.0001
```


# BaLiS2Cl

BaLiS2Cl after structural relaxation (PBE, the Alexandria database).

Results
* Fermi-level density of states: 9.1 states/eV per cell
* VASP energy: -3.329 eV per atom
* formation energy (no corrections): -261 kJ/mol of formula units

CIF file:
```
data_BaLiS2Cl
_chemical_formula_sum 'Ba1 Li1 S2 Cl1'
_cell_length_a 6.0140
_cell_length_b 6.0140
_cell_length_c 5.9946
_cell_angle_alpha 90.00
_cell_angle_beta 90.00
_cell_angle_gamma 90.00
_space_group_name_H-M_alt 'P 4/m m m'
_space_group_IT_number 123
_space_group_name_Hall '-P 4 2'
loop_
_atom_site_label
_atom_site_fract_x
_atom_site_fract_y
_atom_site_fract_z
Ba1 0.0000 0.0000 0.0000
Li1 0.5000 0.5000 0.5000
S1 0.0000 0.5000 0.0000
Cl1 0.0000 0.0000 0.5000
```


# BaLiS2Cl

BaLiS2Cl after structural relaxation (PBE, the Alexandria database).

Results
* Fermi-level density of states: 1.5 states/eV per cell
* VASP energy: -3.983 eV per atom
* formation energy (no corrections): -577 kJ/mol of formula units

CIF file:
```
data_BaLiS2Cl
_chemical_formula_sum 'Ba1 Li1 S2 Cl1'
_cell_length_a 4.5625
_cell_length_b 4.5625
_cell_length_c 5.5271
_cell_angle_alpha 90.00
_cell_angle_beta 90.00
_cell_angle_gamma 90.00
_space_group_name_H-M_alt 'P 4/m m m'
_space_group_IT_number 123
_space_group_name_Hall '-P 4 2'
loop_
_atom_site_label
_atom_site_fract_x
_atom_site_fract_y
_atom_site_fract_z
Ba1 0.0000 0.0000 0.0000
Li1 0.5000 0.5000 0.5000
S1 0.0000 0.5000 0.5000
Cl1 0.5000 0.5000 0.0000
```